[1]
First-principles (PBE) data for a geometry-optimized Sr2ZrTe structure, as listed in the Alexandria database.

Summary:
Formation energy from raw total energies (meV/atom): -108
E_tot (eV per atom): -3.871
Magnetic moment (μB per formula unit): 1.65

Structure (extended XYZ):
```
4
Lattice="7.9895 -0.0031 -0.0090 -3.0391 5.1439 0.0239 1.9114 1.1119 3.2131" Properties=species:S:1:pos:R:3 pbc="T T T"
Sr 0.0000 0.0000 0.0000
Sr 4.9505 0.5544 1.6021
Te -0.5638 3.1279 1.6185
Zr 2.4752 2.5704 0.0075
```


[2]
First-principles (PBE) data for a geometry-optimized TiNbGeCl2 structure, as listed in the Alexandria database.

Summary:
Formation energy from raw total energies (meV/atom): 192
E_tot (eV per atom): -5.063
Magnetic moment (μB per formula unit): 1.13

Structure (extended XYZ):
```
5
Lattice="4.4576 0.0000 0.0000 0.0000 5.7652 0.0000 0.0000 0.0000 4.4576" Properties=species:S:1:pos:R:3 pbc="T T T"
Nb 0.0000 2.8826 0.0000
Cl 0.0000 0.0000 2.2288
Cl 2.2288 0.0000 0.0000
Ge 2.2288 2.8826 2.2288
Ti 0.0000 0.0000 0.0000
```


[3]
First-principles (PBE) data for a geometry-optimized Ac2TbUSe6 structure, as listed in the Alexandria database.

Summary:
Formation energy from raw total energies (meV/atom): -1682
E_tot (eV per atom): -6.186
Magnetic moment (μB per formula unit): 3.00

Structure (extended XYZ):
```
10
Lattice="-6.2174 3.7501 -2.2842 -1.1842 1.2450 -7.4152 -5.7426 -4.0292 -3.6660" Properties=species:S:1:pos:R:3 pbc="T T T"
Ac -6.3323 0.8999 -6.6510
Ac -5.4930 -3.5953 -3.6331
Tb -2.6149 1.4082 -3.2526
U -9.1810 1.9016 -9.9346
Se -5.4366 1.4232 -3.7222
Se -3.8019 0.8426 -8.4533
Se -8.1300 3.2645 -7.5623
Se -8.0102 -0.5321 -8.9134
Se -8.7649 -0.3880 -5.0991
Se -5.5386 -2.1465 -6.3789
```


[4]
First-principles (PBE) data for a geometry-optimized Sm2MgTa2Rh5 structure, as listed in the Alexandria database.

Summary:
E_tot (eV per atom): -7.548
Magnetic moment (μB per formula unit): 0.00

Structure (extended XYZ):
```
20
Lattice="3.2159 0.0000 0.0000 0.0000 10.8395 0.0000 0.0000 0.0000 10.8395" Properties=species:S:1:pos:R:3 pbc="T T T"
Sm 0.0000 7.2716 1.8518
Sm 0.0000 3.5680 8.9877
Sm 0.0000 1.8518 3.5680
Sm 0.0000 8.9877 7.2716
Mg 0.0000 0.0000 0.0000
Mg 0.0000 5.4198 5.4198
Ta 0.0000 1.4879 6.9076
Ta 0.0000 9.3517 3.9319
Ta 0.0000 6.9076 9.3517
Ta 0.0000 3.9319 1.4879
Rh 1.6079 2.1397 0.5998
Rh 1.6079 8.6999 10.2398
Rh 1.6079 0.5998 8.6999
Rh 1.6079 7.5595 4.8200
Rh 1.6079 10.2398 2.1397
Rh 1.6079 3.2801 6.0195
Rh 1.6079 6.0195 7.5595
Rh 1.6079 4.8200 3.2801
Rh 1.6079 5.4198 0.0000
Rh 1.6079 0.0000 5.4198
```


[5]
First-principles (PBE) data for a geometry-optimized Y3NbZn structure, as listed in the Alexandria database.

Summary:
E above lowest polymorph (meV per atom): 56
E_tot (eV per atom): -5.458
Magnetic moment (μB per formula unit): 2.88

Structure (extended XYZ):
```
5
Lattice="-1.9955 4.9087 0.6663 -3.4697 -0.8722 -3.9651 -3.5356 -1.9144 3.5150" Properties=species:S:1:pos:R:3 pbc="T T T"
Y -1.7348 -0.4361 -1.9825
Y -1.7678 -0.9572 1.7575
Y -0.9977 2.4543 0.3332
Nb -4.5004 1.0610 0.1082
Zn 0.0000 0.0000 0.0000
```


[6]
First-principles (PBE) data for a geometry-optimized SrAg3Hg3 structure, as listed in the Alexandria database.

Summary:
E_tot (eV per atom): -1.421
Magnetic moment (μB per formula unit): 0.00

Structure (extended XYZ):
```
14
Lattice="-3.2937 -6.9301 -0.6757 2.8358 -0.6524 -7.1319 6.3593 -3.2984 2.8303" Properties=species:S:1:pos:R:3 pbc="T T T"
Sr 2.9507 -5.4405 -2.4886
Sr 0.0000 0.0000 0.0000
Hg 3.8886 -1.8123 -0.3678
Hg 5.3065 -2.1385 -3.9337
Hg 3.1226 -5.9389 1.7849
Hg -1.0524 -5.5238 -4.0727
Hg -0.0570 -4.2896 0.3697
Hg 0.5945 -2.0587 -3.7349
Ag 2.3562 -3.3817 1.2462
Ag 3.0077 -1.1508 -2.8584
Ag 0.4800 -3.9544 -5.6868
Ag 0.7093 -6.8468 0.9084
Ag 6.1874 -2.8000 -1.4432
Ag -0.9379 -3.6281 -2.1208
```


[7]
First-principles (PBE) data for a geometry-optimized TlZnC2 structure, as listed in the Alexandria database.

Summary:
E above lowest polymorph (meV per atom): 0
E_tot (eV per atom): -3.695
Magnetic moment (μB per formula unit): 0.00

Structure (extended XYZ):
```
8
Lattice="4.4519 0.0000 0.0000 0.0000 4.4519 0.0000 2.2260 2.2260 6.1043" Properties=species:S:1:pos:R:3 pbc="T T T"
C 2.9797 1.1130 1.5261
C 1.4722 3.3389 1.5261
C 3.3389 3.6982 4.5782
C 5.5649 5.2056 4.5782
Tl 0.0000 0.0000 0.0000
Tl 4.4519 2.2260 3.0521
Zn 2.2260 2.2260 0.0000
Zn 2.2260 4.4519 3.0521
```


[8]
First-principles (PBE) data for a geometry-optimized ZnTcNi2 structure, as listed in the Alexandria database.

Summary:
E_tot (eV per atom): -5.670
Magnetic moment (μB per formula unit): 2.61

Structure (extended XYZ):
```
4
Lattice="3.5532 0.0000 0.0000 0.0000 3.7851 0.0000 0.0000 0.0000 3.7851" Properties=species:S:1:pos:R:3 pbc="T T T"
Ni 0.0000 0.0000 0.0000
Ni 0.0000 1.8925 1.8925
Tc 1.7766 1.8925 0.0000
Zn 1.7766 0.0000 1.8925
```


[9]
First-principles (PBE) data for a geometry-optimized ZnSbMo3 structure, as listed in the Alexandria database.

Summary:
E above lowest polymorph (meV per atom): 0
Formation energy from raw total energies (meV/atom): 1471
E_tot (eV per atom): -6.107
Magnetic moment (μB per formula unit): 0.00

Structure (extended XYZ):
```
5
Lattice="4.5971 0.0000 0.0000 0.0000 4.5971 0.0000 0.0000 0.0000 4.5971" Properties=species:S:1:pos:R:3 pbc="T T T"
Sb 2.2985 2.2985 2.2985
Mo 0.0000 2.2985 0.0000
Mo 0.0000 0.0000 2.2985
Mo 2.2985 0.0000 0.0000
Zn 0.0000 0.0000 0.0000
```


[10]
First-principles (PBE) data for a geometry-optimized DyYEr2Sc2 structure, as listed in the Alexandria database.

Summary:
E_tot (eV per atom): -5.402
Magnetic moment (μB per formula unit): 0.01

Structure (extended XYZ):
```
12
Lattice="5.4334 0.0000 0.0000 0.0000 9.3765 0.0000 0.0000 0.0000 6.8203" Properties=species:S:1:pos:R:3 pbc="T T T"
Dy 0.0000 0.0000 0.0000
Dy 2.7167 4.6882 3.4101
Y 2.7167 4.6882 0.0000
Y 0.0000 0.0000 3.4101
Er 2.7167 7.8149 1.7060
Er 2.7167 1.5616 5.1143
Er 0.0000 6.2498 5.1161
Er 0.0000 3.1266 1.7042
Sc 2.7167 1.5643 1.7028
Sc 0.0000 6.2525 1.7074
Sc 2.7167 7.8122 5.1175
Sc 0.0000 3.1240 5.1129
```


[11]
First-principles (PBE) data for a geometry-optimized Li2CdSbH structure, as listed in the Alexandria database.

Summary:
E above lowest polymorph (meV per atom): 0
E_tot (eV per atom): -2.746
Magnetic moment (μB per formula unit): 0.00

Structure (extended XYZ):
```
5
Lattice="-4.0817 -0.3318 1.2992 -1.2529 -0.5403 -4.0739 0.4940 -4.3913 0.4305" Properties=species:S:1:pos:R:3 pbc="T T T"
Sb -2.4203 -2.6317 -1.1721
Li -0.6264 -0.2701 -2.0369
Li -2.0408 -0.1659 0.6496
H 0.0000 0.0000 0.0000
Cd 0.2470 -2.1956 0.2152
```


[12]
First-principles (PBE) data for a geometry-optimized InAsPCl2 structure, as listed in the Alexandria database.

Summary:
E above lowest polymorph (meV per atom): 0
Formation energy from raw total energies (meV/atom): 89
E_tot (eV per atom): -3.210
Magnetic moment (μB per formula unit): 0.78

Structure (extended XYZ):
```
5
Lattice="-5.4225 -1.0101 -0.0151 0.5763 -3.1608 4.4835 -0.7779 4.1312 3.0124" Properties=species:S:1:pos:R:3 pbc="T T T"
P -0.3890 2.0656 1.5062
As 0.0000 0.0000 0.0000
Cl 0.2882 -1.5804 2.2417
Cl -2.7113 -0.5050 -0.0075
In -2.8121 -0.0198 3.7404
```


[13]
First-principles (PBE) data for a geometry-optimized MnNb2SnRh structure, as listed in the Alexandria database.

Summary:
E_tot (eV per atom): -6.802
Magnetic moment (μB per formula unit): 0.46

Structure (extended XYZ):
```
5
Lattice="-2.4160 4.0197 -1.0812 -2.2082 -2.3029 -3.6273 -3.5337 -1.3199 2.9892" Properties=species:S:1:pos:R:3 pbc="T T T"
Nb -1.7668 -0.6599 1.4946
Nb -1.2080 2.0098 -0.5406
Mn -4.0790 0.1984 -0.8597
Rh 0.0000 0.0000 0.0000
Sn -1.1041 -1.1514 -1.8137
```


[14]
First-principles (PBE) data for a geometry-optimized CaPu3Br8 structure, as listed in the Alexandria database.

Summary:
Formation energy from raw total energies (meV/atom): -1566
E_tot (eV per atom): -6.431
Magnetic moment (μB per formula unit): 18.00

Structure (extended XYZ):
```
12
Lattice="8.5370 0.0000 0.0000 -4.2685 6.0652 -4.2252 0.0000 -0.1265 8.5291" Properties=species:S:1:pos:R:3 pbc="T T T"
Ca 0.0000 0.0000 0.0000
Pu 4.2685 0.0000 0.0000
Pu 2.1343 3.0326 -2.1126
Pu -2.1343 3.0326 -2.1126
Br 0.0000 2.9586 4.3386
Br 4.2685 2.9801 -0.0347
Br 2.0868 -0.0814 6.4863
Br 6.4502 -0.0814 6.4863
Br 4.2685 3.0164 4.3280
Br 0.0000 2.9223 -0.0241
Br -2.1817 6.0201 -2.1824
Br 2.1817 6.0201 -2.1824
```


[15]
First-principles (PBE) data for a geometry-optimized Ca2HoN structure, as listed in the Alexandria database.

Summary:
Formation energy from raw total energies (meV/atom): -411
E_tot (eV per atom): -4.637
Magnetic moment (μB per formula unit): 0.00

Structure (extended XYZ):
```
4
Lattice="-2.2831 -1.8616 -1.9106 -0.0061 -3.5057 0.1967 -7.2728 -1.3645 6.7940" Properties=species:S:1:pos:R:3 pbc="T T T"
Ca -4.8617 -1.5218 4.0660
Ca -4.7003 -5.2101 1.0141
Ho 0.0000 0.0000 0.0000
N -4.7810 -3.3659 2.5401
```


[16]
First-principles (PBE) data for a geometry-optimized CaCe2DyP4 structure, as listed in the Alexandria database.

Summary:
E_tot (eV per atom): -6.444
Magnetic moment (μB per formula unit): 0.86

Structure (extended XYZ):
```
8
Lattice="-3.8142 1.3674 0.5749 -2.5407 -6.1499 -2.2292 -0.7499 -4.4117 5.5184" Properties=species:S:1:pos:R:3 pbc="T T T"
Ca -3.9273 -6.8030 4.6913
Ce -0.7499 -4.4117 5.5184
Ce -2.2821 -1.5221 3.0466
Dy -1.6453 -5.2808 1.6446
P -2.4829 -7.9344 2.3990
P -4.6219 -1.2599 1.4651
P -4.0077 -5.0628 0.0188
P -3.0971 -4.1315 3.8453
```


[17]
First-principles (PBE) data for a geometry-optimized PmBe2Pt4 structure, as listed in the Alexandria database.

Summary:
E_tot (eV per atom): -6.016
Magnetic moment (μB per formula unit): 0.00

Structure (extended XYZ):
```
14
Lattice="-2.7993 -2.0591 -1.5022 5.0732 -5.0521 -2.5285 -0.6294 -3.8826 6.4949" Properties=species:S:1:pos:R:3 pbc="T T T"
Pm -1.3996 -1.0296 -0.7511
Pm 2.2219 -4.4673 1.9832
Be 0.6826 -4.1517 4.4189
Be 3.7612 -4.7830 -0.4525
Be 1.8447 -7.5525 2.1447
Be -0.2001 -3.4413 0.3196
Pt 0.1773 -1.6396 1.9170
Pt 4.2665 -7.2951 2.0494
Pt -0.8709 -4.1498 2.5409
Pt 2.5155 -6.8440 -0.0766
Pt 0.2366 -6.3766 3.5294
Pt 1.4080 -4.6172 -1.0652
Pt 1.5986 -1.9310 -0.3319
Pt 2.8453 -7.0037 4.2983
```


[18]
First-principles (PBE) data for a geometry-optimized TmNbCoTc structure, as listed in the Alexandria database.

Summary:
E_tot (eV per atom): -8.130
Magnetic moment (μB per formula unit): 0.36

Structure (extended XYZ):
```
4
Lattice="4.5603 0.0000 0.0000 2.2801 3.9493 0.0000 2.2801 1.3164 3.7234" Properties=species:S:1:pos:R:3 pbc="T T T"
Nb 0.0000 0.0000 0.0000
Tm 4.5603 2.6329 1.8617
Co 2.2801 1.3164 0.9309
Tc 6.8404 3.9493 2.7926
```


[19]
First-principles (PBE) data for a geometry-optimized BaGaN3 structure, as listed in the Alexandria database.

Summary:
Formation energy from raw total energies (meV/atom): 709
E_tot (eV per atom): -5.276
Magnetic moment (μB per formula unit): 4.00

Structure (extended XYZ):
```
5
Lattice="-3.9436 -0.0617 1.2520 -0.2837 -3.9818 -1.0900 1.2210 -1.1246 3.7905" Properties=species:S:1:pos:R:3 pbc="T T T"
Ba -1.5032 -2.5841 1.9762
Ga 0.0000 0.0000 0.0000
N -0.1419 -1.9909 -0.5450
N 0.6105 -0.5623 1.8952
N -1.9718 -0.0308 0.6260
```


[20]
First-principles (PBE) data for a geometry-optimized ErZrP structure, as listed in the Alexandria database.

Summary:
E above lowest polymorph (meV per atom): 327
E_tot (eV per atom): -6.677
Magnetic moment (μB per formula unit): 0.00

Structure (extended XYZ):
```
3
Lattice="3.8834 0.0000 0.0000 0.0000 4.4579 0.0000 0.0000 -2.2289 3.8606" Properties=species:S:1:pos:R:3 pbc="T T T"
P 0.6492 0.0000 2.5738
Zr 0.6464 0.0000 0.0000
Er 2.5878 2.2289 1.2869
```


[21]
First-principles (PBE) data for a geometry-optimized PaSO2 structure, as listed in the Alexandria database.

Summary:
E above lowest polymorph (meV per atom): 377
Formation energy from raw total energies (meV/atom): -2325
E_tot (eV per atom): -8.210
Magnetic moment (μB per formula unit): 0.26

Structure (extended XYZ):
```
4
Lattice="3.3616 0.0000 0.0000 0.0000 5.7627 -0.8186 0.0000 -2.2750 5.3573" Properties=species:S:1:pos:R:3 pbc="T T T"
Pa 1.6808 -1.1375 2.6786
S 1.6808 2.8814 -0.4093
O 0.0000 -0.1333 1.9069
O 0.0000 3.6211 2.6318
```


[22]
First-principles (PBE) data for a geometry-optimized La2DyYSe6 structure, as listed in the Alexandria database.

Summary:
Formation energy from raw total energies (meV/atom): -1922
E_tot (eV per atom): -6.104
Magnetic moment (μB per formula unit): 0.00

Structure (extended XYZ):
```
10
Lattice="-5.7950 4.4469 -1.4237 -3.3571 -0.2736 -6.6363 -7.1000 -3.1704 -0.4497" Properties=species:S:1:pos:R:3 pbc="T T T"
La -7.8556 0.8057 -4.4042
La -6.8317 -2.8680 -0.5977
Dy -11.3668 1.6779 -6.8368
Y -3.2399 1.1784 -2.5820
Se -5.9951 1.8038 -2.2810
Se -6.1417 -0.2047 -6.6422
Se -9.3192 3.1978 -5.4555
Se -10.2861 -0.6340 -5.5986
Se -9.7731 0.6684 -2.0140
Se -7.4621 -2.0715 -3.4162
```


[23]
First-principles (PBE) data for a geometry-optimized IrAu structure, as listed in the Alexandria database.

Summary:
E above lowest polymorph (meV per atom): 29
E_tot (eV per atom): -5.853
Magnetic moment (μB per formula unit): 0.00

Structure (extended XYZ):
```
4
Lattice="-5.0819 0.2118 8.1107 -3.6440 -2.1703 8.5828 -2.4964 0.3238 9.2368" Properties=species:S:1:pos:R:3 pbc="T T T"
Au -0.0365 -0.0053 0.0842
Au -2.7691 -0.4034 6.3983
Ir -5.5573 -0.8095 12.8407
Ir -8.4707 -1.2339 19.5723
```